A relaxed structure of Sr2SiRh2, computed with PBE-GGA.

Formation energy (no corrections) ... -0.380 eV per atom

abc: 6.6237 6.6237 4.9100
angles: 90.00 90.00 90.00
Closest atoms and distances in Å follow each position.
Element x y z (fractional)
Sr1 0.1764 0.3236 0.0000  6 Rh 2.96-3.26, 1 Sr 3.31
Sr2 0.3236 0.8236 0.0000  6 Rh 2.96-3.26, 1 Sr 3.31
Sr3 0.6764 0.1764 0.0000  6 Rh 2.96-3.26, 1 Sr 3.31
Sr4 0.8236 0.6764 0.0000  6 Rh 2.96-3.26, 1 Sr 3.31
Si1 0.0000 0.0000 0.5000  4 Rh 2.53
Si2 0.5000 0.5000 0.5000  4 Rh 2.53
Rh1 0.1471 0.6471 0.5000  2 Si 2.53, 1 Rh 2.76
Rh2 0.3529 0.1471 0.5000  2 Si 2.53, 1 Rh 2.76
Rh3 0.6471 0.8529 0.5000  2 Si 2.53, 1 Rh 2.76
Rh4 0.8529 0.3529 0.5000  2 Si 2.53, 1 Rh 2.76

A relaxed structure of La3Al6Ga5, computed with PBE-GGA.

E_form ... -646 kJ/mol of formula units

abc: 4.3654 13.1163 10.2466
angles: 90.00 90.00 90.00
Closest atoms and distances in Å follow each position.
Element x y z (fractional)
La1 0.2500 0.0740 0.2490  6 Ga 3.22-3.24, 7 Al 3.23-3.49
La2 0.2500 0.4260 0.2490  6 Ga 3.22-3.24, 7 Al 3.23-3.49
La3 0.2500 0.7500 0.2567  6 Ga 3.29-3.33, 10 Al 3.38-3.55
La4 0.7500 0.2500 0.7433  6 Ga 3.29-3.33, 10 Al 3.38-3.55
La5 0.7500 0.5740 0.7510  6 Ga 3.22-3.24, 7 Al 3.23-3.49
La6 0.7500 0.9260 0.7510  6 Ga 3.22-3.24, 7 Al 3.23-3.49
Al1 0.2500 0.0800 0.6121  4 Ga 2.62-2.68, 1 Al 2.66
Al2 0.2500 0.2500 0.0157  4 Ga 2.65-2.89, 4 Al 2.95
Al3 0.2500 0.2500 0.4698  2 Al 2.66, 4 Ga 2.83
Al4 0.2500 0.4200 0.6121  4 Ga 2.62-2.68, 1 Al 2.66
Al5 0.2500 0.5983 0.9900  4 Ga 2.63-2.79
Al6 0.2500 0.9017 0.9900  4 Ga 2.63-2.79
Al7 0.7500 0.0983 0.0100  4 Ga 2.63-2.79
Al8 0.7500 0.4017 0.0100  4 Ga 2.63-2.79
Al9 0.7500 0.5800 0.3879  4 Ga 2.62-2.68, 1 Al 2.66
Al10 0.7500 0.7500 0.5302  2 Al 2.66, 4 Ga 2.83
Al11 0.7500 0.7500 0.9843  4 Ga 2.65-2.89, 4 Al 2.95
Al12 0.7500 0.9200 0.3879  4 Ga 2.62-2.68, 1 Al 2.66
Ga1 0.2500 0.0845 0.8674  5 Al 2.62-2.71
Ga2 0.2500 0.4155 0.8674  5 Al 2.62-2.71
Ga3 0.2500 0.6126 0.5251  5 Al 2.63-2.83
Ga4 0.2500 0.7500 0.7997  4 Al 2.79-2.89
Ga5 0.2500 0.8874 0.5251  5 Al 2.63-2.83
Ga6 0.7500 0.1126 0.4749  5 Al 2.63-2.83
Ga7 0.7500 0.2500 0.2003  4 Al 2.79-2.89
Ga8 0.7500 0.3874 0.4749  5 Al 2.63-2.83
Ga9 0.7500 0.5845 0.1326  5 Al 2.62-2.71
Ga10 0.7500 0.9155 0.1326  5 Al 2.62-2.71

A relaxed structure of Mg3GaRh, computed with PBE-GGA.

E_form ... -126 kJ/mol of formula units

abc: 6.3909 6.3909 7.0265
angles: 121.62 121.62 76.57
Closest atoms and distances in Å follow each position.
Element x y z (fractional)
Mg1 0.0401 0.0401 0.3362  1 Rh 2.62, 1 Ga 2.71, 1 Mg 2.90
Mg2 0.0879 0.4581 0.2164  2 Rh 2.58-2.80
Mg3 0.4581 0.0879 0.2164  2 Rh 2.58-2.80
Mg4 0.5419 0.9121 0.7836  2 Rh 2.58-2.80
Mg5 0.9121 0.5419 0.7836  2 Rh 2.58-2.80
Mg6 0.9599 0.9599 0.6638  1 Rh 2.62, 1 Ga 2.71, 1 Mg 2.90
Ga1 0.4028 0.4028 0.6673  2 Rh 2.42-2.47, 1 Mg 2.71
Ga2 0.5972 0.5972 0.3327  2 Rh 2.42-2.47, 1 Mg 2.71
Rh1 0.3023 0.3023 0.9070  2 Ga 2.42-2.47, 3 Mg 2.58-2.62
Rh2 0.6977 0.6977 0.0930  2 Ga 2.42-2.47, 3 Mg 2.58-2.62

A relaxed structure of BaOsSe3, computed with PBE-GGA.

Formation energy (no corrections) ... -0.438 eV per atom

abc: 5.0610 5.0610 5.0610
angles: 90.00 90.00 90.00
Closest atoms and distances in Å follow each position.
Element x y z (fractional)
Ba1 0.0000 0.0000 0.0000  12 Se 3.58
Os1 0.5000 0.5000 0.5000  6 Se 2.53
Se1 0.0000 0.5000 0.5000  2 Os 2.53
Se2 0.5000 0.0000 0.5000  2 Os 2.53
Se3 0.5000 0.5000 0.0000  2 Os 2.53

A relaxed structure of Ni2BAu2, computed with PBE-GGA.

E_form ... 71 kJ/mol of formula units

abc: 5.3633 5.3633 4.6263
angles: 90.00 90.00 90.00
Closest atoms and distances in Å follow each position.
Element x y z (fractional)
Ni1 0.1614 0.3386 0.0000  2 B 2.01
Ni2 0.3386 0.8386 0.0000  2 B 2.01
Ni3 0.6614 0.1614 0.0000  2 B 2.01
Ni4 0.8386 0.6614 0.0000  2 B 2.01
B1 0.0000 0.0000 0.0000  4 Ni 2.01
B2 0.5000 0.5000 0.0000  4 Ni 2.01
Au1 0.1785 0.6785 0.5000  2 Ni 2.61, 5 Au 2.71-2.79
Au2 0.3215 0.1785 0.5000  2 Ni 2.61, 5 Au 2.71-2.79
Au3 0.6785 0.8215 0.5000  2 Ni 2.61, 5 Au 2.71-2.79
Au4 0.8215 0.3215 0.5000  2 Ni 2.61, 5 Au 2.71-2.79

A relaxed structure of CaMgAlF2, computed with PBE-GGA.

Formation energy (no corrections) ... -1.687 eV per atom

abc: 4.2551 4.2551 8.0500
angles: 90.00 90.00 90.00
Closest atoms and distances in Å follow each position.
Element x y z (fractional)
Ca1 0.0000 0.0000 0.0000  4 F 2.13
Mg1 0.0000 0.0000 0.5000  4 Al 3.01
Al1 0.5000 0.5000 0.5000  4 Mg 3.01
F1 0.0000 0.5000 0.0000  2 Ca 2.13
F2 0.5000 0.0000 0.0000  2 Ca 2.13

A relaxed structure of Tb3ThZn4, computed with PBE-GGA.

E_form ... -224 kJ/mol of formula units

abc: 5.0971 5.0971 7.2108
angles: 90.00 90.00 90.00
Closest atoms and distances in Å follow each position.
Element x y z (fractional)
Tb1 0.0000 0.0000 0.0000  8 Zn 3.10
Tb2 0.0000 0.0000 0.5000  8 Zn 3.14
Tb3 0.5000 0.5000 0.0000  8 Zn 3.10
Th1 0.5000 0.5000 0.5000  8 Zn 3.14
Zn1 0.0000 0.5000 0.2446  6 Tb 3.10-3.14, 2 Th 3.14
Zn2 0.0000 0.5000 0.7554  6 Tb 3.10-3.14, 2 Th 3.14
Zn3 0.5000 0.0000 0.2446  6 Tb 3.10-3.14, 2 Th 3.14
Zn4 0.5000 0.0000 0.7554  6 Tb 3.10-3.14, 2 Th 3.14

A relaxed structure of CoNi2IrCl, computed with PBE-GGA.

Formation energy (no corrections) ... 0.888 eV per atom

abc: 4.0816 4.0816 4.0821
angles: 90.00 90.00 90.00
Closest atoms and distances in Å follow each position.
Element x y z (fractional)
Co1 0.0000 0.0000 0.0000  2 Cl 2.04
Ni1 0.0000 0.5000 0.5000  2 Cl 2.04
Ni2 0.5000 0.0000 0.5000  2 Cl 2.04
Ir1 0.5000 0.5000 0.0000  4 Co 2.89, 8 Ni 2.89
Cl1 0.0000 0.0000 0.5000  4 Ni 2.04, 2 Co 2.04